# HfSe2IN (PBE-GGA, optimized geometry)
data_HfSe2IN
_chemical_formula_sum 'Hf1 Se2 I1 N1'
_cell_length_a 5.382
_cell_length_b 5.382
_cell_length_c 4.091
_cell_angle_alpha 90.00
_cell_angle_beta 90.00
_cell_angle_gamma 90.00
_symmetry_space_group_name_H-M 'P 4/m m m'
_symmetry_Int_Tables_number 123
_symmetry_space_group_name_Hall '-P 4 2'
loop_
_atom_site_label
_atom_site_fract_x
_atom_site_fract_y
_atom_site_fract_z
Hf1 0.000 0.000 0.000
Se1 0.000 0.500 0.000
I1 0.500 0.500 0.500
N1 0.000 0.000 0.500
# volume: 23.70 Å³ per atom
# total moment: 0.8 μB/f.u.
# distance to the lowest polymorph of the same formula: 0 meV per atom